1.
BaMnF3 after structural relaxation. Source: Alexandria, functional GGA+U.

CIF file:
```
data_BaMnF3
_chemical_formula_sum 'Ba1 Mn1 F3'
_cell_length_a 4.4803
_cell_length_b 4.4803
_cell_length_c 4.4803
_cell_angle_alpha 90.00
_cell_angle_beta 90.00
_cell_angle_gamma 90.00
_symmetry_space_group_name_H-M 'P 1'
_symmetry_Int_Tables_number 1
loop_
_symmetry_equiv_pos_as_xyz
'x,y,z'
loop_
_atom_site_label
_atom_site_fract_x
_atom_site_fract_y
_atom_site_fract_z
Ba1 0.0000 0.0000 0.0000
Mn1 0.5000 0.5000 0.5000
F1 0.0000 0.5000 0.5000
F2 0.5000 0.0000 0.5000
F3 0.5000 0.5000 0.0000
```

Values from the calculation:
- Energy above the most stable polymorph in this dataset: 0.000 eV/f.u.


2.
BaMn2F after structural relaxation. Source: Alexandria, functional GGA+U.

CIF file:
```
data_BaMn2F
_chemical_formula_sum 'Ba2 Mn4 F2'
_cell_length_a 14.4294
_cell_length_b 14.4294
_cell_length_c 14.4294
_cell_angle_alpha 164.57
_cell_angle_beta 164.57
_cell_angle_gamma 21.89
_symmetry_space_group_name_H-M 'P 1'
_symmetry_Int_Tables_number 1
loop_
_symmetry_equiv_pos_as_xyz
'x,y,z'
loop_
_atom_site_label
_atom_site_fract_x
_atom_site_fract_y
_atom_site_fract_z
Ba1 0.0000 0.0000 0.0000
Ba2 0.7500 0.2500 0.5000
Mn1 0.1249 0.1250 0.4999
Mn2 0.3750 0.8751 0.0001
Mn3 0.6251 0.6250 0.5001
Mn4 0.8750 0.3749 0.9999
F1 0.2500 0.7500 0.5000
F2 0.5000 0.5000 0.0000
```

Values from the calculation:
- Energy above the most stable polymorph in this dataset: 0.000 eV/f.u.


3.
Ba4Mn6F19 after structural relaxation. Source: Alexandria, functional GGA+U.

CIF file:
```
data_Ba4Mn6F19
_chemical_formula_sum 'Ba4 Mn6 F19'
_cell_length_a 8.4648
_cell_length_b 8.4648
_cell_length_c 8.4648
_cell_angle_alpha 109.47
_cell_angle_beta 109.47
_cell_angle_gamma 109.47
_symmetry_space_group_name_H-M 'P 1'
_symmetry_Int_Tables_number 1
loop_
_symmetry_equiv_pos_as_xyz
'x,y,z'
loop_
_atom_site_label
_atom_site_fract_x
_atom_site_fract_y
_atom_site_fract_z
Ba1 0.0000 0.0000 0.6732
Ba2 0.0000 0.6732 0.0000
Ba3 0.3268 0.3268 0.3268
Ba4 0.6732 0.0000 0.0000
Mn1 0.1645 0.6645 0.5000
Mn2 0.3355 0.5000 0.8355
Mn3 0.5000 0.1645 0.6645
Mn4 0.5000 0.8355 0.3355
Mn5 0.6645 0.5000 0.1645
Mn6 0.8355 0.3355 0.5000
F1 0.0000 0.0000 0.0000
F2 0.0000 0.3456 0.3456
F3 0.0000 0.6544 0.6544
F4 0.0342 0.3698 0.7621
F5 0.2379 0.6077 0.2721
F6 0.2721 0.2379 0.6077
F7 0.3355 0.9658 0.7279
F8 0.3456 0.0000 0.3456
F9 0.3456 0.3456 0.0000
F10 0.3698 0.7621 0.0342
F11 0.3923 0.6302 0.6645
F12 0.6077 0.2721 0.2379
F13 0.6302 0.6645 0.3923
F14 0.6544 0.0000 0.6544
F15 0.6544 0.6544 0.0000
F16 0.6645 0.3923 0.6302
F17 0.7279 0.3355 0.9658
F18 0.7621 0.0342 0.3698
F19 0.9658 0.7279 0.3355
```


4.
Ba3MnF12 after structural relaxation. Source: Alexandria, functional GGA+U.

CIF file:
```
data_Ba3MnF12
_chemical_formula_sum 'Ba3 Mn1 F12'
_cell_length_a 8.1759
_cell_length_b 8.1759
_cell_length_c 6.8244
_cell_angle_alpha 91.23
_cell_angle_beta 91.23
_cell_angle_gamma 119.20
_symmetry_space_group_name_H-M 'P 1'
_symmetry_Int_Tables_number 1
loop_
_symmetry_equiv_pos_as_xyz
'x,y,z'
loop_
_atom_site_label
_atom_site_fract_x
_atom_site_fract_y
_atom_site_fract_z
Ba1 0.0000 0.0000 0.0000
Ba2 0.0000 0.5000 0.5000
Ba3 0.5000 0.0000 0.5000
Mn1 0.0000 0.0000 0.5000
F1 0.0173 0.1956 0.3459
F2 0.1370 0.2782 0.7406
F3 0.1956 0.0173 0.3459
F4 0.2550 0.6992 0.2807
F5 0.2782 0.1370 0.7406
F6 0.3008 0.7450 0.7193
F7 0.6992 0.2550 0.2807
F8 0.7218 0.8630 0.2594
F9 0.7450 0.3008 0.7193
F10 0.8044 0.9827 0.6541
F11 0.8630 0.7218 0.2594
F12 0.9827 0.8044 0.6541
```


5.
BaMnF5 after structural relaxation. Source: Alexandria, functional GGA+U.

CIF file:
```
data_BaMnF5
_chemical_formula_sum 'Ba1 Mn1 F5'
_cell_length_a 3.6541
_cell_length_b 3.6541
_cell_length_c 7.1295
_cell_angle_alpha 90.00
_cell_angle_beta 90.00
_cell_angle_gamma 90.00
_symmetry_space_group_name_H-M 'P 1'
_symmetry_Int_Tables_number 1
loop_
_symmetry_equiv_pos_as_xyz
'x,y,z'
loop_
_atom_site_label
_atom_site_fract_x
_atom_site_fract_y
_atom_site_fract_z
Ba1 0.0000 0.0000 0.0000
Mn1 0.0000 0.0000 0.5000
F1 0.0000 0.5000 0.3312
F2 0.0000 0.5000 0.6688
F3 0.5000 0.0000 0.3312
F4 0.5000 0.0000 0.6688
F5 0.5000 0.5000 0.0000
```

Values from the calculation:
- Energy above the most stable polymorph in this dataset: 2.933 eV/f.u.


6.
BaMn2F after structural relaxation. Source: Alexandria, functional GGA+U.

CIF file:
```
data_BaMn2F
_chemical_formula_sum 'Ba1 Mn2 F1'
_cell_length_a 5.4919
_cell_length_b 5.4919
_cell_length_c 5.4919
_cell_angle_alpha 60.00
_cell_angle_beta 60.00
_cell_angle_gamma 60.00
_symmetry_space_group_name_H-M 'P 1'
_symmetry_Int_Tables_number 1
loop_
_symmetry_equiv_pos_as_xyz
'x,y,z'
loop_
_atom_site_label
_atom_site_fract_x
_atom_site_fract_y
_atom_site_fract_z
Ba1 0.0000 0.0000 0.0000
Mn1 0.2500 0.2500 0.2500
Mn2 0.7500 0.7500 0.7500
F1 0.5000 0.5000 0.5000
```

Values from the calculation:
- Energy above the most stable polymorph in this dataset: 3.562 eV/f.u.


Values of E_tot, in order: -5.5757 -5.3731 -6.0978 -4.8328 -5.3726 -4.4826, all in eV/atom.